1.
# LiPuZn (PBE, relaxed)
# calculated formation energy: 0.0312 eV/atom
# energy above the lowest structure with this stoichiometry: 20 meV per atom
data_LiPuZn
_cell_length_a 6.8249
_cell_length_b 6.8249
_cell_length_c 6.8249
_cell_angle_alpha 154.53
_cell_angle_beta 154.53
_cell_angle_gamma 36.34
_symmetry_space_group_name_H-M 'P 1'
_symmetry_Int_Tables_number 1
loop_
_symmetry_equiv_pos_as_xyz
'x,y,z'
loop_
_atom_site_label
_atom_site_fract_x
_atom_site_fract_y
_atom_site_fract_z
Li1 0.0000 0.0000 0.0000
Pu1 0.7020 0.7020 0.0000
Zn1 0.3756 0.3756 0.0000

2.
# TbPm2Sm6Y (PBE, relaxed)
# calculated formation energy: 0.1131 eV/atom
data_TbPm2Sm6Y
_cell_length_a 8.9263
_cell_length_b 8.9263
_cell_length_c 9.8043
_cell_angle_alpha 94.39
_cell_angle_beta 94.39
_cell_angle_gamma 118.39
_symmetry_space_group_name_H-M 'P 1'
_symmetry_Int_Tables_number 1
loop_
_symmetry_equiv_pos_as_xyz
'x,y,z'
loop_
_atom_site_label
_atom_site_fract_x
_atom_site_fract_y
_atom_site_fract_z
Tb1 0.0208 0.9792 0.7500
Tb2 0.9792 0.0208 0.2500
Pm1 0.1962 0.2979 0.5420
Pm2 0.2979 0.1962 0.0420
Pm3 0.7021 0.8038 0.9580
Pm4 0.8038 0.7021 0.4580
Sm1 0.0194 0.5733 0.6863
Sm2 0.1224 0.7518 0.0555
Sm3 0.2482 0.8776 0.4445
Sm4 0.2908 0.5021 0.8791
Sm5 0.4267 0.9806 0.8137
Sm6 0.4979 0.7092 0.6209
Sm7 0.5021 0.2908 0.3791
Sm8 0.5733 0.0194 0.1863
Sm9 0.7092 0.4979 0.1209
Sm10 0.7518 0.1224 0.5555
Sm11 0.8776 0.2482 0.9445
Sm12 0.9806 0.4267 0.3137
Y1 0.4077 0.5923 0.2500
Y2 0.5923 0.4077 0.7500

3.
# NpPtIO6 (PBE, relaxed)
# uncorrected formation energy: -0.961 eV per atom
data_NpPtIO6
_cell_length_a 5.6074
_cell_length_b 5.6074
_cell_length_c 9.1490
_cell_angle_alpha 90.00
_cell_angle_beta 90.00
_cell_angle_gamma 120.00
_symmetry_space_group_name_H-M 'P 1'
_symmetry_Int_Tables_number 1
loop_
_symmetry_equiv_pos_as_xyz
'x,y,z'
loop_
_atom_site_label
_atom_site_fract_x
_atom_site_fract_y
_atom_site_fract_z
Np1 0.3333 0.6667 0.2500
Np2 0.6667 0.3333 0.7500
Pt1 0.0000 0.0000 0.0000
Pt2 0.0000 0.0000 0.5000
I1 0.3333 0.6667 0.7500
I2 0.6667 0.3333 0.2500
O1 0.0012 0.3361 0.1279
O2 0.0012 0.6651 0.3721
O3 0.3349 0.3361 0.3721
O4 0.3349 0.9988 0.1279
O5 0.3361 0.0012 0.6279
O6 0.3361 0.3349 0.8721
O7 0.6639 0.6651 0.1279
O8 0.6639 0.9988 0.3721
O9 0.6651 0.0012 0.8721
O10 0.6651 0.6639 0.6279
O11 0.9988 0.3349 0.6279
O12 0.9988 0.6639 0.8721

4.
# Er3Th5Sb8 (PBE, relaxed)
# uncorrected formation energy: -0.972 eV per atom
data_Er3Th5Sb8
_cell_length_a 8.8884
_cell_length_b 8.8884
_cell_length_c 8.8884
_cell_angle_alpha 60.19
_cell_angle_beta 60.19
_cell_angle_gamma 60.19
_symmetry_space_group_name_H-M 'P 1'
_symmetry_Int_Tables_number 1
loop_
_symmetry_equiv_pos_as_xyz
'x,y,z'
loop_
_atom_site_label
_atom_site_fract_x
_atom_site_fract_y
_atom_site_fract_z
Er1 0.0000 0.5000 0.5000
Er2 0.5000 0.0000 0.5000
Er3 0.5000 0.5000 0.0000
Th1 0.0000 0.0000 0.0000
Th2 0.0000 0.0000 0.5000
Th3 0.0000 0.5000 0.0000
Th4 0.5000 0.0000 0.0000
Th5 0.5000 0.5000 0.5000
Sb1 0.2500 0.2500 0.7419
Sb2 0.2500 0.7419 0.2500
Sb3 0.2538 0.2538 0.2538
Sb4 0.2581 0.7500 0.7500
Sb5 0.7419 0.2500 0.2500
Sb6 0.7462 0.7462 0.7462
Sb7 0.7500 0.2581 0.7500
Sb8 0.7500 0.7500 0.2581

no.,total magnetic moment (μB per cell),energy (eV/cell)
1,5.959,-17.4
2,0.000,-95.6
3,5.624,-117.9
4,0.000,-99.3